The following is a PBE calculation of a geometry-optimized HoEr5In4 structure, from the Alexandria database.

Computed properties:
total moment	0.000	μB per atom
calculated formation energy	-0.362	eV per atom
VASP energy	-4.20	eV/atom
space-group type	No. 123
crystal system	tetragonal

Cell and atoms, written as extended XYZ:
```
10
Lattice="3.544 0.000 0.000 0.000 3.544 0.000 0.000 0.000 21.526" Properties=species:S:1:pos:R:3 pbc="T T T"
Ho 0.000 0.000 0.000
Er 1.772 1.772 2.447
Er 1.772 1.772 6.595
Er 1.772 1.772 10.763
Er 1.772 1.772 14.932
Er 1.772 1.772 19.080
In 0.000 0.000 4.524
In 0.000 0.000 8.681
In 0.000 0.000 12.845
In 0.000 0.000 17.002
```